# Li2V5P4O16

Crystalline Li2V5P4O16 at its relaxed geometry (GGA+U, the Alexandria database).

abc: 6.360 7.586 6.945
angles: 90.49 99.04 109.12
Fractional coordinates of all 27 atoms:
Li 0.139 0.347 0.803
Li 0.861 0.653 0.197
V 0.349 0.775 0.993
V 0.000 0.000 0.000
V 0.357 0.633 0.560
V 0.643 0.367 0.440
V 0.651 0.225 0.007
P 0.204 0.461 0.199
P 0.258 0.043 0.627
P 0.742 0.957 0.373
P 0.796 0.539 0.801
O 0.307 0.034 0.047
O 0.272 0.848 0.676
O 0.026 0.281 0.062
O 0.376 0.582 0.823
O 0.082 0.561 0.326
O 0.069 0.084 0.721
O 0.506 0.803 0.311
O 0.321 0.382 0.389
O 0.679 0.618 0.611
O 0.494 0.197 0.689
O 0.931 0.916 0.279
O 0.918 0.439 0.674
O 0.624 0.418 0.177
O 0.974 0.719 0.938
O 0.728 0.152 0.324
O 0.693 0.966 0.953

Computed properties:
Offset from the most stable computed form ... 327.9 meV/atom
Volume ... 312 Å³/cell